No. 1
Entry from Alexandria: a relaxed structure of YHo3Pt2 (PBE).

```
data_YHo3Pt2
_chemical_formula_sum 'Y2 Ho6 Pt4'
_symmetry_space_group_name_H-M 'P 1'
_symmetry_Int_Tables_number 1
_cell_length_a 6.885
_cell_length_b 7.065
_cell_length_c 8.415
_cell_angle_alpha 114.82
_cell_angle_beta 114.15
_cell_angle_gamma 90.00
loop_
_symmetry_equiv_pos_as_xyz
'x,y,z'
loop_
_atom_site_label
_atom_site_fract_x
_atom_site_fract_y
_atom_site_fract_z
Y1 0.000 0.500 0.000
Y2 0.000 0.000 0.000
Ho1 0.500 0.250 0.000
Ho2 0.500 0.750 0.000
Ho3 0.764 0.014 0.527
Ho4 0.236 0.486 0.473
Ho5 0.236 0.986 0.473
Ho6 0.764 0.514 0.527
Pt1 0.569 0.359 0.719
Pt2 0.850 0.141 0.281
Pt3 0.150 0.859 0.719
Pt4 0.431 0.641 0.281
```

ΔH_f (0 K) (eV/atom): -0.86
Energy above the most stable polymorph in this dataset (meV per atom): 107
Magnetization (μB/f.u.): 0.00
Total energy (eV per cell): -74.87

---

No. 2
Entry from Alexandria: a relaxed structure of Mg2ZrZn4 (PBE).

```
data_Mg2ZrZn4
_chemical_formula_sum 'Mg2 Zr1 Zn4'
_symmetry_space_group_name_H-M 'P 1'
_symmetry_Int_Tables_number 1
_cell_length_a 4.376
_cell_length_b 3.177
_cell_length_c 9.397
_cell_angle_alpha 99.73
_cell_angle_beta 103.46
_cell_angle_gamma 90.00
loop_
_symmetry_equiv_pos_as_xyz
'x,y,z'
loop_
_atom_site_label
_atom_site_fract_x
_atom_site_fract_y
_atom_site_fract_z
Mg1 0.800 0.800 0.599
Mg2 0.200 0.200 0.401
Zr1 0.500 0.000 0.000
Zn1 0.641 0.641 0.282
Zn2 0.359 0.359 0.718
Zn3 0.069 0.569 0.139
Zn4 0.931 0.431 0.861
```

ΔH_f (0 K) (eV/atom): -0.17
Magnetization (μB/f.u.): 0.00
Total energy (eV per cell): -18.02

---

No. 3
Entry from Alexandria: a relaxed structure of Pr3Y12Tl (PBE).

```
data_Pr3Y12Tl
_chemical_formula_sum 'Pr3 Y12 Tl1'
_symmetry_space_group_name_H-M 'P 1'
_symmetry_Int_Tables_number 1
_cell_length_a 5.024
_cell_length_b 5.024
_cell_length_c 20.434
_cell_angle_alpha 90.00
_cell_angle_beta 90.00
_cell_angle_gamma 90.00
loop_
_symmetry_equiv_pos_as_xyz
'x,y,z'
loop_
_atom_site_label
_atom_site_fract_x
_atom_site_fract_y
_atom_site_fract_z
Pr1 0.000 0.000 0.248
Pr2 0.000 0.000 0.500
Pr3 0.000 0.000 0.752
Y1 0.500 0.500 0.000
Y2 0.500 0.500 0.243
Y3 0.500 0.500 0.500
Y4 0.500 0.500 0.757
Y5 0.500 0.000 0.119
Y6 0.500 0.000 0.373
Y7 0.500 0.000 0.627
Y8 0.500 0.000 0.881
Y9 0.000 0.500 0.119
Y10 0.000 0.500 0.373
Y11 0.000 0.500 0.627
Y12 0.000 0.500 0.881
Tl1 0.000 0.000 0.000
```

ΔH_f (0 K) (eV/atom): -0.02
Magnetization (μB/f.u.): 0.59
Total energy (eV per cell): -94.61

---

No. 4
Entry from Alexandria: a relaxed structure of KNa2HfIn (PBE).

```
data_KNa2HfIn
_chemical_formula_sum 'K1 Na2 Hf1 In1'
_symmetry_space_group_name_H-M 'P 1'
_symmetry_Int_Tables_number 1
_cell_length_a 5.120
_cell_length_b 6.098
_cell_length_c 5.120
_cell_angle_alpha 90.00
_cell_angle_beta 90.00
_cell_angle_gamma 90.00
loop_
_symmetry_equiv_pos_as_xyz
'x,y,z'
loop_
_atom_site_label
_atom_site_fract_x
_atom_site_fract_y
_atom_site_fract_z
Na1 0.000 0.000 0.500
Na2 0.500 0.000 0.000
K1 0.000 0.000 0.000
Hf1 0.000 0.500 0.000
In1 0.500 0.500 0.500
```

ΔH_f (0 K) (eV/atom): 1.26
Magnetization (μB/f.u.): 0.00
Total energy (eV per cell): -10.11

---

No. 5
Entry from Alexandria: a relaxed structure of Ce6Ga2Pb (PBE).

```
data_Ce6Ga2Pb
_chemical_formula_sum 'Ce6 Ga2 Pb1'
_symmetry_space_group_name_H-M 'P 1'
_symmetry_Int_Tables_number 1
_cell_length_a 3.058
_cell_length_b 9.006
_cell_length_c 9.006
_cell_angle_alpha 120.00
_cell_angle_beta 90.00
_cell_angle_gamma 90.00
loop_
_symmetry_equiv_pos_as_xyz
'x,y,z'
loop_
_atom_site_label
_atom_site_fract_x
_atom_site_fract_y
_atom_site_fract_z
Ce1 0.500 0.349 0.349
Ce2 0.500 0.651 0.651
Ce3 0.500 0.000 0.651
Ce4 0.500 0.651 0.000
Ce5 0.500 0.349 0.000
Ce6 0.500 0.000 0.349
Ga1 0.000 0.333 0.667
Ga2 0.000 0.667 0.333
Pb1 0.000 0.000 0.000
```

ΔH_f (0 K) (eV/atom): -0.24
Energy above the most stable polymorph in this dataset (meV per atom): 0
Magnetization (μB/f.u.): 2.57
Total energy (eV per cell): -47.49

---

No. 6
Entry from Alexandria: a relaxed structure of MgCd4Ag5 (PBE).

```
data_MgCd4Ag5
_chemical_formula_sum 'Mg1 Cd4 Ag5'
_symmetry_space_group_name_H-M 'P 1'
_symmetry_Int_Tables_number 1
_cell_length_a 3.428
_cell_length_b 3.428
_cell_length_c 16.318
_cell_angle_alpha 90.00
_cell_angle_beta 90.00
_cell_angle_gamma 90.00
loop_
_symmetry_equiv_pos_as_xyz
'x,y,z'
loop_
_atom_site_label
_atom_site_fract_x
_atom_site_fract_y
_atom_site_fract_z
Mg1 0.000 0.000 0.000
Cd1 0.000 0.000 0.197
Cd2 0.000 0.000 0.399
Cd3 0.000 0.000 0.601
Cd4 0.000 0.000 0.803
Ag1 0.500 0.500 0.095
Ag2 0.500 0.500 0.298
Ag3 0.500 0.500 0.500
Ag4 0.500 0.500 0.702
Ag5 0.500 0.500 0.905
```

ΔH_f (0 K) (eV/atom): -0.09
Magnetization (μB/f.u.): 0.00
Total energy (eV per cell): -20.45